A plane-wave DFT calculation with PBE was carried out for a geometry-optimized YCCl structure.

```
YCCl
1.0
3.748 0.000 0.000
-1.874 3.466 -0.015
0.000 1.613 10.084
Y Cl C
2 2 2
Cartesian
1.874 0.874 1.480 Y
0.000 4.205 8.590 Y
1.874 3.144 6.883 Cl
0.000 1.935 3.186 Cl
0.000 2.157 9.695 C
1.874 2.922 0.374 C
```

Summary:
- uncorrected formation energy (eV/atom) = -1.24
- space group = C2/m
- uncorrected energy (eV/atom) = -7.0895